Entry 1:
A relaxed structure of CaPSe, computed with PBE-GGA.

The volume comes out at 75.3 Å³/f.u. The value obtained for the magnetization is 0.0000 μB per atom. The value obtained for the calculated total energy is -4.67 eV per atom.

The space group is P1 (No. 1) and the conventional cell measures 4.286, 5.863 and 6.884 Å, with angles of 112.06, 106.52 and 94.03 degrees. The distinct sites, in fractional coordinates, are Ca at (0.000, 0.000, 0.000), Ca at (0.349, 0.349, 0.688), P at (0.011, 0.507, 0.025), P at (0.813, 0.596, 0.287), Se at (0.309, 0.830, 0.654) and Se at (0.692, 0.216, 0.340).

=====

Entry 2:
A relaxed structure of Sr2SnS2, computed with PBE-GGA.

The volume comes out at 172.3 Å³/f.u. The value obtained for the magnetization is 0.0000 μB per atom. The calculation puts the density of states at the Fermi level at 0.27 states/eV/atom. The value obtained for the calculated total energy is -4.05 eV per atom.

The space group is I4/mmm (No. 139) and the conventional cell measures 5.342, 5.342 and 12.078 Å, with angles of 90.00, 90.00 and 90.00 degrees. The distinct sites, in fractional coordinates, are Sr at (0.000, 0.000, 0.168), Sn at (0.000, 0.000, 0.500) and S at (0.000, 0.500, 0.250).

=====

Entry 3:
A relaxed structure of Th2Te3H, computed with PBE-GGA.

The volume comes out at 187.3 Å³/f.u. The value obtained for the magnetization is 0.0000 μB per atom. The calculation puts the density of states at the Fermi level at 0.03 states/eV/atom. The value obtained for the calculated total energy is -5.52 eV per atom.

The space group is C2/m (No. 12) and the conventional cell measures 16.865, 4.370 and 11.322 Å, with angles of 90.00, 116.10 and 90.00 degrees. The distinct sites, in fractional coordinates, are Th at (0.093, 0.000, 0.447), Th at (0.141, 0.500, 0.809), Te at (0.053, 0.500, 0.231), Te at (0.151, 0.000, 0.007), Te at (0.232, 0.500, 0.624) and H at (0.068, 0.000, 0.646).

=====

Entry 4:
A relaxed structure of HfAlAs2Se, computed with PBE-GGA.

The volume comes out at 138.3 Å³/f.u. The value obtained for the magnetization is 0.0000 μB per atom. The calculation puts the density of states at the Fermi level at 0.96 states/eV/atom. The value obtained for the calculated total energy is -5.19 eV per atom.

The space group is P4/mmm (No. 123) and the conventional cell measures 5.186, 5.186 and 5.141 Å, with angles of 90.00, 90.00 and 90.00 degrees. The distinct sites, in fractional coordinates, are Hf at (0.000, 0.000, 0.000), Al at (0.500, 0.500, 0.500), As at (0.000, 0.500, 0.000) and Se at (0.000, 0.000, 0.500).

=====

Entry 5:
A relaxed structure of SrHg3Ge, computed with PBE-GGA.

The volume comes out at 242.8 Å³/f.u. The value obtained for the magnetization is 0.5117 μB per atom. The calculation puts the density of states at the Fermi level at 0.89 states/eV/atom. The value obtained for the calculated total energy is -0.81 eV per atom. The formation energy comes out at 60.4 kJ per mole of atoms.

The space group is Pm-3m (No. 221) and the conventional cell measures 6.238, 6.238 and 6.238 Å, with angles of 90.00, 90.00 and 90.00 degrees. The distinct sites, in fractional coordinates, are Sr at (0.000, 0.000, 0.000), Hg at (0.000, 0.000, 0.500) and Ge at (0.500, 0.500, 0.500).

=====

Entry 6:
A relaxed structure of Cs2TlP, computed with PBE-GGA.

The volume comes out at 160.3 Å³/f.u. The value obtained for the magnetization is 0.0000 μB per atom. The calculation puts the density of states at the Fermi level at 0.00 states/eV/atom. The value obtained for the calculated total energy is -2.26 eV per atom. The formation energy comes out at 11.0 kJ per mole of atoms.

The space group is Fm-3m (No. 225) and the conventional cell measures 8.623, 8.623 and 8.623 Å, with angles of 90.00, 90.00 and 90.00 degrees. The distinct sites, in fractional coordinates, are Cs at (0.250, 0.250, 0.250), Tl at (0.000, 0.000, 0.000) and P at (0.000, 0.000, 0.500).

=====

Entry 7:
A relaxed structure of Zr3Np3TiN8, computed with PBE-GGA.

The volume comes out at 200.4 Å³/f.u. The value obtained for the magnetization is 0.5671 μB per atom. The calculation puts the density of states at the Fermi level at 1.04 states/eV/atom. The value obtained for the calculated total energy is -10.64 eV per atom.

The space group is R-3m (No. 166, hexagonal axes) and the conventional cell measures 6.4921, 6.4921 and 16.4685 Å, with angles of 90.00, 90.00 and 120.00 degrees. The distinct sites, in fractional coordinates, are Zr at (0.0000, 0.5000, 0.0000), Np at (0.0000, 0.5000, 0.5000), Ti at (0.0000, 0.0000, 0.0000), N at (0.0000, 0.0000, 0.2553) and N at (0.0231, 0.5115, 0.7428).

=====

Entry 8:
A relaxed structure of NaCd2Hg6, computed with PBE-GGA.

The volume comes out at 241.3 Å³/f.u. The value obtained for the magnetization is 0.0000 μB per atom. The calculation puts the density of states at the Fermi level at 0.30 states/eV/atom. The value obtained for the calculated total energy is -0.61 eV per atom. The formation energy comes out at -5.7 kJ per mole of atoms.

The space group is C2/m (No. 12) and the conventional cell measures 11.636, 6.582 and 6.398 Å, with angles of 90.00, 99.91 and 90.00 degrees. The distinct sites, in fractional coordinates, are Na at (0.000, 0.000, 0.000), Cd at (0.092, 0.500, 0.867), Hg at (0.000, 0.226, 0.500) and Hg at (0.214, 0.260, 0.257).

=====

Among the records above, which one has the highest magnetization?
Zr3Np3TiN8